# 1
A geometry-optimized Tl5In6Sn structure. Source: the Alexandria database, functional PBE.

Lattice parameters (Å, degrees): 5.442 9.539 9.539 119.56 107.31 107.31
Sites, in units of the cell vectors:
Tl 0.500 0.175 0.825
Tl 0.000 0.337 0.663
Tl 0.500 0.500 0.500
Tl 0.000 0.663 0.337
Tl 0.500 0.825 0.175
Sn 0.000 0.000 0.000
In 0.239 0.076 0.402
In 0.761 0.598 0.924
In 0.737 0.235 0.235
In 0.263 0.765 0.765
In 0.239 0.402 0.076
In 0.761 0.924 0.598

Values from the calculation:
- Magnetization: 0.00 μB per formula unit
- E_tot: -31.98 eV/cell
- Space-group type: C2/m
- DFT formation energy: 0.3 eV per formula unit
- DOS(E_F): 0.444 states/eV/atom



# 2
A geometry-optimized U2Sb4Au structure. Source: the Alexandria database, functional PBE.

Lattice parameters (Å, degrees): 4.358 4.358 9.660 90.00 90.00 90.00
Last column: magnetic moment on the atom in μB.
Sites, in units of the cell vectors:
U 0.500 0.000 0.752  2.19
U 0.000 0.500 0.248  2.19
Sb 0.500 0.000 0.178  -0.06
Sb 0.000 0.500 0.822  -0.06
Sb 0.500 0.500 0.500  -0.03
Sb 0.000 0.000 0.500  -0.03
Au 0.500 0.500 0.000  -0.03

Values from the calculation:
- E_form (uncorrected): -0.2840 eV/atom
- Magnetization: 4.44 μB per formula unit
- E_tot: -44.33 eV/cell
- Space-group type: P-4m2
- DOS(E_F): 2.085 states/eV/atom



# 3
A geometry-optimized Pm5Sn4 structure. Source: the Alexandria database, functional PBE.

Lattice parameters (Å, degrees): 4.186 8.203 8.203 86.28 75.24 75.24
Sites, in units of the cell vectors:
Pm 0.000 0.980 0.020
Pm 0.000 0.353 0.647
Pm 0.000 0.667 0.333
Pm 0.313 0.353 0.020
Pm 0.687 0.980 0.647
Sn 0.321 0.667 0.692
Sn 0.321 0.026 0.333
Sn 0.679 0.667 0.974
Sn 0.679 0.308 0.333

Values from the calculation:
- Magnetization: 0.10 μB per formula unit
- E_tot: -45.01 eV/cell
- Space-group type: I4/mmm
- DFT formation energy: -5.2 eV per formula unit
- DOS(E_F): 1.107 states/eV/atom



# 4
A geometry-optimized NaSn2IO8 structure. Source: the Alexandria database, functional PBE.

Lattice parameters (Å, degrees): 4.845 4.811 6.515 90.00 90.00 88.95
Sites, in units of the cell vectors:
Na 0.000 0.000 0.500
Sn 0.500 0.500 0.741
Sn 0.500 0.500 0.259
I 0.000 0.000 0.000
O 0.183 0.806 0.212
O 0.699 0.712 0.000
O 0.817 0.194 0.212
O 0.817 0.194 0.788
O 0.301 0.288 0.000
O 0.183 0.806 0.788
O 0.683 0.692 0.500
O 0.317 0.308 0.500

Values from the calculation:
- E_form (uncorrected): -1.0170 eV/atom
- Magnetization: 0.01 μB per formula unit
- E_tot: -62.74 eV/cell
- Space-group type: P2/m
- DOS(E_F): 0.700 states/eV/atom



# 5
A geometry-optimized Sm4Te3Cl4 structure. Source: the Alexandria database, functional PBE.

Lattice parameters (Å, degrees): 4.040 8.668 9.745 116.41 101.96 90.00
Sites, in units of the cell vectors:
Sm 0.255 0.755 0.511
Sm 0.745 0.245 0.489
Sm 0.500 0.779 0.000
Sm 0.500 0.221 0.000
Te 0.101 0.101 0.203
Te 0.899 0.899 0.797
Te 0.000 0.500 0.000
Cl 0.322 0.134 0.645
Cl 0.678 0.489 0.355
Cl 0.678 0.866 0.355
Cl 0.322 0.511 0.645

Values from the calculation:
- E_form (uncorrected): -1.7375 eV/atom
- Magnetization: 0.00 μB per formula unit
- E_tot: -54.80 eV/cell
- Space-group type: Immm
- DOS(E_F): 0.367 states/eV/atom



# 6
A geometry-optimized K2CrBi2 structure. Source: the Alexandria database, functional PBE.

Lattice parameters (Å, degrees): 10.214 10.214 3.423 90.00 90.00 90.00
Last column: magnetic moment on the atom in μB.
Sites, in units of the cell vectors:
Cr 0.000 0.000 0.000  4.23
Cr 0.500 0.500 0.000  4.23
K 0.384 0.884 0.000  0.00
K 0.884 0.616 0.000  0.00
K 0.616 0.116 0.000  0.00
K 0.116 0.384 0.000  0.00
Bi 0.185 0.685 0.500  -0.15
Bi 0.685 0.815 0.500  -0.15
Bi 0.815 0.315 0.500  -0.15
Bi 0.315 0.185 0.500  -0.15

Values from the calculation:
- Magnetization: 4.56 μB per formula unit
- E_tot: -34.51 eV/cell
- Space-group type: P4/mbm
- DFT formation energy: 2.3 eV per formula unit
- Relative energy among the computed polymorphs: 483 meV/atom
- DOS(E_F): 0.619 states/eV/atom



# 7
A geometry-optimized Ac5PrCo4 structure. Source: the Alexandria database, functional PBE.

Lattice parameters (Å, degrees): 4.227 8.114 9.160 104.09 103.34 90.00
Sites, in units of the cell vectors:
Ac 0.163 0.329 0.325
Ac 0.166 0.850 0.331
Ac 0.834 0.150 0.669
Ac 0.500 0.500 0.000
Ac 0.837 0.671 0.675
Pr 0.500 0.000 0.000
Co 0.673 0.110 0.345
Co 0.997 0.260 0.993
Co 0.327 0.890 0.655
Co 0.003 0.740 0.007

Values from the calculation:
- Magnetization: 0.00 μB per formula unit
- E_tot: -53.24 eV/cell
- Space-group type: C2/m
- DFT formation energy: 0.5 eV per formula unit
- DOS(E_F): 0.769 states/eV/atom



# 8
A geometry-optimized AlB3N3 structure. Source: the Alexandria database, functional PBE.

Lattice parameters (Å, degrees): 4.718 4.718 4.718 90.00 90.00 90.00
Sites, in units of the cell vectors:
Al 0.500 0.500 0.500
Al 0.000 0.000 0.000
B 0.250 0.000 0.500
B 0.000 0.500 0.250
B 0.500 0.750 0.000
B 0.750 0.000 0.500
B 0.000 0.500 0.750
B 0.500 0.250 0.000
N 0.000 0.250 0.500
N 0.000 0.750 0.500
N 0.500 0.000 0.750
N 0.750 0.500 0.000
N 0.500 0.000 0.250
N 0.250 0.500 0.000

Values from the calculation:
- E_form (uncorrected): 0.2536 eV/atom
- Magnetization: 0.00 μB per formula unit
- E_tot: -93.95 eV/cell
- Space-group type: Pm-3n
- DOS(E_F): 0.186 states/eV/atom



Please write out number 3 again, unchanged.
A geometry-optimized Pm5Sn4 structure. Source: the Alexandria database, functional PBE.

Lattice parameters (Å, degrees): 4.186 8.203 8.203 86.28 75.24 75.24
Sites, in units of the cell vectors:
Pm 0.000 0.980 0.020
Pm 0.000 0.353 0.647
Pm 0.000 0.667 0.333
Pm 0.313 0.353 0.020
Pm 0.687 0.980 0.647
Sn 0.321 0.667 0.692
Sn 0.321 0.026 0.333
Sn 0.679 0.667 0.974
Sn 0.679 0.308 0.333

Values from the calculation:
- Magnetization: 0.10 μB per formula unit
- E_tot: -45.01 eV/cell
- Space-group type: I4/mmm
- DFT formation energy: -5.2 eV per formula unit
- DOS(E_F): 1.107 states/eV/atom



Which of these has the highest DOS(E_F)?
U2Sb4Au



Repeat the sixth record exactly.
A geometry-optimized K2CrBi2 structure. Source: the Alexandria database, functional PBE.

Lattice parameters (Å, degrees): 10.214 10.214 3.423 90.00 90.00 90.00
Last column: magnetic moment on the atom in μB.
Sites, in units of the cell vectors:
Cr 0.000 0.000 0.000  4.23
Cr 0.500 0.500 0.000  4.23
K 0.384 0.884 0.000  0.00
K 0.884 0.616 0.000  0.00
K 0.616 0.116 0.000  0.00
K 0.116 0.384 0.000  0.00
Bi 0.185 0.685 0.500  -0.15
Bi 0.685 0.815 0.500  -0.15
Bi 0.815 0.315 0.500  -0.15
Bi 0.315 0.185 0.500  -0.15

Values from the calculation:
- Magnetization: 4.56 μB per formula unit
- E_tot: -34.51 eV/cell
- Space-group type: P4/mbm
- DFT formation energy: 2.3 eV per formula unit
- Relative energy among the computed polymorphs: 483 meV/atom
- DOS(E_F): 0.619 states/eV/atom